14
Lattice="7.526 0.000 0.000 0.000 7.526 0.000 0.000 0.000 7.526" Properties=species:S:1:pos:R:3 comment="PrAg3Sn3 GGA-PBE optimized geometry" sg="Pm-3n, No. 223" relative_energy_ev_per_fu=2.38 ef_ev_per_atom=0.26 dos_ef_per_ev_atom=0.64 pbc="T T T"
Pr 0.000 0.000 0.000
Pr 3.763 3.763 3.763
Ag 0.000 1.881 3.763
Ag 0.000 5.644 3.763
Ag 1.881 3.763 0.000
Ag 3.763 0.000 1.881
Ag 3.763 0.000 5.644
Ag 5.644 3.763 0.000
Sn 0.000 3.763 1.881
Sn 0.000 3.763 5.644
Sn 1.881 0.000 3.763
Sn 3.763 1.881 0.000
Sn 3.763 5.644 0.000
Sn 5.644 0.000 3.763